Record 1
First-principles (GGA-PBE) data for an optimized crystal structure of SrYV2H, as listed in Alexandria.

Computed properties:
density of states at the Fermi level	1.123	states/eV per atom
SG	No. 123
M_tot	1.621	μB per atom

Geometry as extended XYZ:
```
5
Lattice="5.7607 0.0000 0.0000 0.0000 3.9800 0.0000 0.0000 0.0000 5.7607" Properties=species:S:1:pos:R:3 pbc="T T T"
Y 2.8804 1.9900 2.8804
Sr 0.0000 0.0000 0.0000
H 0.0000 1.9900 0.0000
V 0.0000 0.0000 2.8804
V 2.8804 0.0000 0.0000
```


Record 2
First-principles (GGA-PBE) data for an optimized crystal structure of AcCe2DyP4, as listed in Alexandria.

Computed properties:
density of states at the Fermi level	1.165	states/eV per atom
SG	No. 10
M_tot	0.136	μB per atom
formation enthalpy at 0 K	-1.4759	eV/atom

Geometry as extended XYZ:
```
8
Lattice="-3.3853 0.1283 2.4168 -1.7792 -6.6439 -2.1395 2.9940 -4.8375 4.4506" Properties=species:S:1:pos:R:3 pbc="T T T"
Ac 0.4117 -8.0953 4.5892
Ce 2.9940 -4.8375 4.4506
Ce -0.1956 -2.3546 3.4337
Dy 0.6074 -5.7407 1.1556
P 0.8320 -8.6228 1.6232
P -3.0025 -2.7304 3.1047
P -2.2570 -6.2105 0.7510
P 0.0865 -5.1426 3.9769
```


Record 3
First-principles (GGA-PBE) data for an optimized crystal structure of LaOsBr2, as listed in Alexandria.

Computed properties:
density of states at the Fermi level	1.193	states/eV per atom
polymorph energy (0 for the lowest one)	738	meV/atom
SG	No. 216
ΔE_f (raw)	0.257	eV/atom
M_tot	0.753	μB per atom

Geometry as extended XYZ:
```
4
Lattice="5.2403 0.0000 0.0000 2.6202 4.5383 0.0000 2.6202 1.5128 4.2787" Properties=species:S:1:pos:R:3 pbc="T T T"
Os 7.8605 4.5383 3.2090
Br 0.0000 0.0000 0.0000
Br 2.6202 1.5128 1.0697
La 5.2403 3.0255 2.1394
```


Calculated volume for every record listed, in sequence, given in Å³/f.u.: 132, 204, 102.
Uncorrected energy for every record listed, in sequence, given in eV per atom: -4.6074, -6.7531, -4.6189.